1.
! InSnSe2Br (PBE-GGA, relaxed); values from VASP
&SYSTEM
  ibrav = 0, nat = 5, ntyp = 4
/
ATOMIC_SPECIES
Se 78.96 Se.upf
Br 79.90 Br.upf
Sn 118.71 Sn.upf
In 114.82 In.upf
CELL_PARAMETERS angstrom
5.304 0.000 0.000
0.000 5.304 0.000
0.000 0.000 5.728
ATOMIC_POSITIONS crystal
Se 0.500 0.000 0.000
Se 0.000 0.500 0.000
Br 0.000 0.000 0.500
Sn 0.000 0.000 0.000
In 0.500 0.500 0.500
! * total DFT energy (no corrections): -3.25 eV/atom
! * formation energy (no corrections): -0.1758 eV/atom

---

2.
! Pm4Nd3Er3 (PBE-GGA, relaxed); values from VASP
&SYSTEM
  ibrav = 0, nat = 10, ntyp = 3
/
ATOMIC_SPECIES
Pm 145.00 Pm.upf
Nd 144.24 Nd.upf
Er 167.26 Er.upf
CELL_PARAMETERS angstrom
-2.540 -2.467 1.368
4.285 -7.002 -4.668
5.516 -1.513 7.514
ATOMIC_POSITIONS crystal
Pm 0.000 0.631 0.369
Pm 0.000 0.132 0.128
Pm 0.000 0.368 0.632
Pm 0.000 0.872 0.868
Nd 0.500 0.330 0.331
Nd 0.500 0.830 0.170
Nd 0.500 0.669 0.670
Er 0.000 0.495 0.997
Er 0.500 0.170 0.830
Er 0.000 0.003 0.505
! * total DFT energy (no corrections): -4.59 eV/atom
! * E_form: 0.1142 eV per atom

---

3.
! Pm2FeB10 (PBE-GGA, relaxed); values from VASP
&SYSTEM
  ibrav = 0, nat = 26, ntyp = 3
/
ATOMIC_SPECIES
B 10.81 B.upf
Pm 145.00 Pm.upf
Fe 55.84 Fe.upf
CELL_PARAMETERS angstrom
-3.562 -1.845 -1.188
1.516 -4.685 2.729
-5.043 3.767 9.269
ATOMIC_POSITIONS crystal
B 0.298 0.204 0.113
B 0.000 0.654 0.802
B 0.702 0.704 0.387
B 0.000 0.535 0.314
B 0.000 0.128 0.540
B 0.000 0.035 0.186
B 0.702 0.204 0.113
B 0.702 0.296 0.613
B 0.000 0.846 0.302
B 0.298 0.296 0.613
B 0.000 0.628 0.960
B 0.000 0.465 0.686
B 0.000 0.346 0.198
B 0.000 0.872 0.460
B 0.000 0.154 0.698
B 0.298 0.704 0.387
B 0.702 0.796 0.887
B 0.000 0.372 0.040
B 0.298 0.796 0.887
B 0.000 0.965 0.814
Pm 0.500 0.710 0.131
Pm 0.500 0.790 0.631
Pm 0.500 0.210 0.369
Pm 0.500 0.290 0.869
Fe 0.000 0.500 0.500
Fe 0.000 0.000 0.000
! * total DFT energy (no corrections): -7.04 eV/atom
! * E_form: -0.5208 eV per atom

---

4.
! Zn5Cd3Au2 (PBE-GGA, relaxed); values from VASP
&SYSTEM
  ibrav = 0, nat = 20, ntyp = 3
/
ATOMIC_SPECIES
Cd 112.41 Cd.upf
Au 196.97 Au.upf
Zn 65.41 Zn.upf
CELL_PARAMETERS angstrom
5.632 0.000 0.000
2.816 8.123 -1.906
2.816 0.318 8.337
ATOMIC_POSITIONS crystal
Cd 0.388 0.344 0.880
Cd 0.112 0.120 0.656
Cd 0.250 0.000 0.000
Cd 0.750 0.000 0.000
Cd 0.888 0.880 0.344
Cd 0.612 0.656 0.120
Au 0.348 0.997 0.307
Au 0.652 0.003 0.693
Au 0.152 0.693 0.003
Au 0.848 0.307 0.997
Zn 0.489 0.261 0.261
Zn 0.989 0.261 0.261
Zn 0.011 0.739 0.739
Zn 0.880 0.474 0.767
Zn 0.750 0.500 0.500
Zn 0.620 0.233 0.526
Zn 0.380 0.767 0.474
Zn 0.250 0.500 0.500
Zn 0.120 0.526 0.233
Zn 0.511 0.739 0.739
! * total DFT energy (no corrections): -1.59 eV/atom
! * E_form: -0.0229 eV per atom

---

Repeat the fourth record exactly.
! Zn5Cd3Au2 (PBE-GGA, relaxed); values from VASP
&SYSTEM
  ibrav = 0, nat = 20, ntyp = 3
/
ATOMIC_SPECIES
Cd 112.41 Cd.upf
Au 196.97 Au.upf
Zn 65.41 Zn.upf
CELL_PARAMETERS angstrom
5.632 0.000 0.000
2.816 8.123 -1.906
2.816 0.318 8.337
ATOMIC_POSITIONS crystal
Cd 0.388 0.344 0.880
Cd 0.112 0.120 0.656
Cd 0.250 0.000 0.000
Cd 0.750 0.000 0.000
Cd 0.888 0.880 0.344
Cd 0.612 0.656 0.120
Au 0.348 0.997 0.307
Au 0.652 0.003 0.693
Au 0.152 0.693 0.003
Au 0.848 0.307 0.997
Zn 0.489 0.261 0.261
Zn 0.989 0.261 0.261
Zn 0.011 0.739 0.739
Zn 0.880 0.474 0.767
Zn 0.750 0.500 0.500
Zn 0.620 0.233 0.526
Zn 0.380 0.767 0.474
Zn 0.250 0.500 0.500
Zn 0.120 0.526 0.233
Zn 0.511 0.739 0.739
! * total DFT energy (no corrections): -1.59 eV/atom
! * E_form: -0.0229 eV per atom

---

Q: Which of these has the highest total DFT energy (no corrections)?
A: Zn5Cd3Au2

---

Q: Which of these has the highest total DFT energy (no corrections)?
A: Zn5Cd3Au2